The following is a DFT calculation (PBE) of a relaxed RbNa2PaBr8 crystal.

Cell and atoms, written as POSCAR:
```
RbNa2PaBr8
1.0
-0.7421 4.3523 5.7171
-6.9398 -1.4321 0.9893
0.9463 -7.0042 7.1124
Br Pa Na Rb
8 1 2 1
direct
0.8393 0.2333 0.7999
0.2860 0.2321 0.9717
0.1932 0.7967 0.8108
0.3308 0.3017 0.4682
0.7140 0.7679 0.0283
0.1607 0.7667 0.2001
0.8068 0.2033 0.1892
0.6692 0.6983 0.5318
0.0000 0.0000 0.0000
0.5542 0.5699 0.3095
0.4458 0.4301 0.6905
0.0000 0.0000 0.5000
```

## Properties
Space group: P-1
E: -3.6884 eV per atom

---

The following is a DFT calculation (PBE) of a relaxed Na2PaTlBr8 crystal.

Cell and atoms, written as POSCAR:
```
Na2PaTlBr8
1.0
7.2836 0.1065 0.3985
0.1291 6.9291 0.3013
0.5360 0.4309 9.6803
Br Na Tl Pa
8 2 1 1
direct
0.6778 0.7009 0.5420
0.1761 0.7902 0.7985
0.8458 0.2315 0.7997
0.8239 0.2098 0.2015
0.2936 0.2385 0.9769
0.1542 0.7685 0.2003
0.3222 0.2991 0.4580
0.7064 0.7615 0.0231
0.4479 0.4256 0.6947
0.5521 0.5744 0.3053
0.0000 0.0000 0.5000
0.0000 0.0000 0.0000
```

## Properties
Space group: P-1
E: -3.6548 eV per atom

---

The following is a DFT calculation (PBE) of a relaxed NaPaTl2Br8 crystal.

Cell and atoms, written as POSCAR:
```
NaPaTl2Br8
1.0
-0.6743 -4.3425 5.9586
6.3805 -2.7592 -1.9734
4.4616 6.5350 5.2654
Br Na Tl Pa
8 1 2 1
direct
0.8788 0.2235 0.2060
0.1206 0.7758 0.2060
0.6742 0.8018 0.9996
0.3120 0.2544 0.4999
0.6880 0.7456 0.5001
0.3258 0.1982 0.0004
0.8794 0.2242 0.7940
0.1212 0.7765 0.7940
0.0000 0.0000 0.5000
0.5001 0.5003 0.2715
0.4999 0.4997 0.7285
0.0000 0.0000 0.0000
```

## Properties
Space group: P-1
E: -3.6524 eV per atom

---

The following is a DFT calculation (PBE) of a relaxed Na3Pb5Br12 crystal.

Cell and atoms, written as POSCAR:
```
Na3Pb5Br12
1.0
-4.6579 13.5173 -7.0514
-12.5023 -9.7696 1.5440
5.9715 3.3060 14.4065
Pb Br Na
20 48 12
direct
0.2500 0.8750 0.1250
0.5000 0.0000 0.5000
0.6250 0.8750 0.2500
0.0000 0.5000 0.5000
0.3750 0.2500 0.1250
0.5000 0.0000 0.0000
0.7500 0.1250 0.8750
0.2500 0.3750 0.6250
0.7500 0.6250 0.3750
0.8750 0.2500 0.6250
0.5000 0.5000 0.0000
0.5000 0.5000 0.5000
0.0000 0.5000 0.0000
0.1250 0.3750 0.2500
0.8750 0.6250 0.7500
0.0000 0.0000 0.5000
0.0000 0.0000 0.0000
0.3750 0.1250 0.7500
0.1250 0.7500 0.3750
0.6250 0.7500 0.8750
0.3747 0.4228 0.0955
0.7793 0.4520 0.3747
0.2207 0.6727 0.0955
0.1727 0.0955 0.7207
0.0480 0.6253 0.7207
0.9228 0.0955 0.8747
0.9520 0.5772 0.1727
0.0480 0.4228 0.8273
0.5480 0.2207 0.1253
0.5772 0.6253 0.4045
0.7207 0.1253 0.0480
0.7793 0.3273 0.9045
0.0772 0.9045 0.1253
0.6727 0.2207 0.5955
0.4045 0.2793 0.3273
0.1253 0.7207 0.5480
0.3273 0.7793 0.4045
0.9228 0.8273 0.5480
0.4520 0.7793 0.8747
0.4228 0.0480 0.3273
0.8273 0.9228 0.0480
0.4045 0.1253 0.5772
0.0955 0.1727 0.2207
0.8747 0.2793 0.4520
0.2793 0.8747 0.9520
0.6253 0.0480 0.2207
0.1727 0.0772 0.9520
0.9520 0.3747 0.2793
0.5480 0.3273 0.9228
0.4228 0.3747 0.5955
0.2793 0.4045 0.8273
0.5772 0.9520 0.6727
0.0772 0.1727 0.4520
0.8273 0.9045 0.2793
0.5955 0.8747 0.4228
0.3273 0.5480 0.4228
0.9045 0.0772 0.6253
0.1253 0.4045 0.0772
0.6727 0.4520 0.5772
0.3747 0.9520 0.7793
0.5955 0.7207 0.6727
0.8747 0.5955 0.9228
0.6253 0.5772 0.9045
0.0955 0.9228 0.3747
0.2207 0.5480 0.6253
0.9045 0.8273 0.7793
0.7207 0.5955 0.1727
0.4520 0.6727 0.0772
0.2500 0.1250 0.3750
0.1250 0.2500 0.8750
0.7500 0.8750 0.6250
0.6250 0.3750 0.7500
0.7500 0.3750 0.1250
0.2500 0.6250 0.8750
0.3750 0.7500 0.6250
0.3750 0.6250 0.2500
0.8750 0.7500 0.1250
0.6250 0.2500 0.3750
0.1250 0.8750 0.7500
0.8750 0.1250 0.2500
```

## Properties
Space group: Ia-3d
Fermi-level density of states: 0.43 states/eV per atom
E: -3.0485 eV per atom

---

The following is a DFT calculation (PBE) of a relaxed NaPbBr crystal.

Cell and atoms, written as POSCAR:
```
NaPbBr
1.0
3.8690 0.0000 0.0000
-1.9345 3.2962 0.0000
0.0000 0.0000 15.0915
Br Pb Na
2 2 2
direct
0.3318 0.6636 0.1987
0.3318 0.6636 0.8013
0.3288 0.6576 0.5000
0.3374 0.6748 0.0000
0.6684 0.3368 0.3092
0.6684 0.3368 0.6908
```

## Properties
Space group: Amm2
Fermi-level density of states: 0.41 states/eV per atom
E: -2.8683 eV per atom

---

The following is a DFT calculation (PBE) of a relaxed Na3Pb6Br14 crystal.

Cell and atoms, written as POSCAR:
```
Na3Pb6Br14
1.0
7.5175 0.0000 0.0000
0.0000 9.3249 -5.3837
0.0000 0.0000 10.7675
Br Na Pb
14 3 6
direct
0.6602 0.7956 0.2040
0.1891 0.9258 0.4626
0.0308 0.1273 0.2557
0.6602 0.4084 0.2044
0.5494 0.2068 0.7924
0.5494 0.2076 0.4143
0.1891 0.5368 0.0742
0.1891 0.5374 0.4632
0.6602 0.7960 0.5916
0.9582 0.3333 0.6667
0.4434 0.0000 0.0000
0.0308 0.1284 0.8727
0.5494 0.5857 0.7932
0.0308 0.7443 0.8716
0.3310 0.3333 0.6667
0.4350 0.6667 0.3333
0.8159 0.0000 0.0000
0.2528 0.8541 0.1446
0.7708 0.4798 0.9607
0.2528 0.2905 0.1459
0.2528 0.8554 0.7095
0.7708 0.0393 0.5191
0.7708 0.4809 0.5202
```

## Properties
Space group: P3
Fermi-level density of states: 0.29 states/eV per atom
E: -3.1374 eV per atom

---

Question: The highest E belongs to which entry?
Answer: NaPbBr

---

Question: Among the records above, which one has the highest E?
Answer: NaPbBr

---

Question: E of number 5 (NaPbBr)?
Answer: -2.8683 eV per atom